Record 1
A plane-wave DFT calculation with PBE was carried out for Ta5ReW4 after structural relaxation.

Unit cell a=3.2324 b=3.2324 c=16.1736 alpha=90.00 beta=90.00 gamma=90.00
Space group P4/mmm (No. 123)
Unique sites:
Ta1 0.0000 0.0000 0.0000 x1
Ta2 0.0000 0.0000 0.2012 x2
Ta3 0.0000 0.0000 0.4017 x2
Re1 0.5000 0.5000 0.5000 x1
W1 0.5000 0.5000 0.1004 x2
W2 0.5000 0.5000 0.3010 x2

## Properties
Calculated formation energy = -0.177 eV/atom

Record 2
A plane-wave DFT calculation with PBE was carried out for ScTaPb after structural relaxation.

Unit cell a=3.6407 b=3.6407 c=9.6855 alpha=90.00 beta=90.00 gamma=90.00
Space group I4mm (No. 107)
Unique sites:
Sc1 0.0000 0.0000 0.0000 x2
Ta1 0.0000 0.0000 0.3349 x2
Pb1 0.0000 0.0000 0.6748 x2

## Properties
Calculated formation energy = 0.132 eV/atom

Record 3
A plane-wave DFT calculation with PBE was carried out for Ba3HCl after structural relaxation.

Unit cell a=5.6966 b=5.6966 c=5.6966 alpha=90.00 beta=90.00 gamma=90.00
Space group Pm-3m (No. 221)
Unique sites:
Ba1 0.0000 0.0000 0.5000 x3
H1 0.0000 0.0000 0.0000 x1
Cl1 0.5000 0.5000 0.5000 x1

Record 4
A plane-wave DFT calculation with PBE was carried out for CaWBr2 after structural relaxation.

Unit cell a=7.6020 b=7.6020 c=7.6020 alpha=90.00 beta=90.00 gamma=90.00
Space group F-43m (No. 216)
Unique sites:
Ca1 0.0000 0.0000 0.0000 x4
W1 0.2500 0.2500 0.2500 x4
Br1 0.0000 0.0000 0.5000 x4
Br2 0.2500 0.2500 0.7500 x4

## Properties
Formation energy (no corrections) = 638 meV/atom

Record 5
A plane-wave DFT calculation with PBE was carried out for Na5CuCO5 after structural relaxation.

Unit cell a=4.4654 b=8.5283 c=4.8730 alpha=90.00 beta=90.00 gamma=90.00
Space group Pmm2 (No. 25)
Unique sites:
Na1 0.0000 0.0000 0.0000 x1
Na2 0.0000 0.2747 0.5352 x2
Na3 0.5000 0.2533 0.0286 x2
Cu1 0.0000 0.5000 0.0367 x1
C1 0.5000 0.0000 0.4612 x1
O1 0.0000 0.2875 0.0382 x2
O2 0.5000 0.0000 0.1940 x1
O3 0.5000 0.1336 0.5917 x2

## Properties
Formation energy (no corrections) = -1408 meV/atom

Record 6
A plane-wave DFT calculation with PBE was carried out for Ho3Er4Th5 after structural relaxation.

Unit cell a=11.1562 b=5.4818 c=13.3194 alpha=90.00 beta=106.70 gamma=90.00
Space group C2/m (No. 12)
Unique sites:
Ho1 0.0000 0.0000 0.0000 x2
Ho2 0.2183 0.0000 0.8923 x4
Er1 0.0441 0.5000 0.7757 x4
Er2 0.1644 0.0000 0.2653 x4
Th1 0.0000 0.5000 0.0000 x2
Th2 0.0962 0.0000 0.6273 x4
Th3 0.1424 0.5000 0.4692 x4

## Properties
Calculated formation energy = 0.323 eV/atom

Record 7
A plane-wave DFT calculation with PBE was carried out for VCu6Pd12 after structural relaxation.

Unit cell a=11.8372 b=11.8372 c=6.7223 alpha=90.00 beta=90.00 gamma=120.00
Space group R-3 (No. 148, hexagonal axes)
Unique sites:
V1 0.0000 0.0000 0.0000 x3
Cu1 0.0352 0.7539 0.3301 x18
Pd1 0.0150 0.8748 0.6685 x18
Pd2 0.0692 0.5071 0.6700 x18

## Properties
Calculated formation energy = -0.120 eV/atom

Record 8
A plane-wave DFT calculation with PBE was carried out for CuNiMoSe2 after structural relaxation.

Unit cell a=4.6161 b=4.6161 c=4.7854 alpha=90.00 beta=90.00 gamma=90.00
Space group P4/mmm (No. 123)
Unique sites:
Cu1 0.0000 0.0000 0.0000 x1
Ni1 0.5000 0.5000 0.5000 x1
Mo1 0.0000 0.0000 0.5000 x1
Se1 0.0000 0.5000 0.0000 x2

## Properties
Formation energy (no corrections) = 1274 meV/atom

Magnetic moment: 0.0, 0.0, 3.4, 23.8, 0.1, 0.0, 0.3, 3.7 (μB per cell)
DFT total energy: -125.3, -43.0, -12.9, -63.0, -61.6, -130.4, -294.9, -21.3 (eV/cell)
Mass density: 17.95, 11.20, 4.03, 5.80, 2.42, 9.89, 10.44, 6.12 (g/cm³)